No. 1
Compound: TlCoMo
Source: the Alexandria database
Functional: PBE
Structure: relaxed

- formation energy from the elements (eV per formula unit) = 1.21
- space group = C2/m (12)
- N(E_F) (states/eV/f.u.) = 2.20
- E (eV/f.u.) = -19.097

Geometry as POSCAR:
```
TlCoMo
1.0
3.0336 -2.7485 0.0000
3.0336 2.7485 0.0000
-0.2784 0.0000 6.4841
Tl Co Mo
2 2 2
Cartesian
1.4058 0.0000 0.8795
4.3830 0.0000 5.6046
1.1591 0.0000 4.5885
4.6296 0.0000 1.8956
2.8944 1.2774 3.2420
2.8944 -1.2774 3.2420
```

=====

No. 2
Compound: TlCoMo
Source: the Alexandria database
Functional: PBE
Structure: relaxed

- formation energy from the elements (eV per formula unit) = 1.41
- space group = P4/nmm (129)
- N(E_F) (states/eV/f.u.) = 1.60
- E (eV/f.u.) = -18.892

Geometry as POSCAR:
```
TlCoMo
1.0
4.3504 0.0000 0.0000
0.0000 4.3504 0.0000
0.0000 0.0000 5.8759
Tl Co Mo
2 2 2
Cartesian
1.0876 3.2628 0.0000
3.2628 1.0876 0.0000
1.0876 1.0876 1.8814
3.2628 3.2628 3.9945
1.0876 3.2628 2.9379
3.2628 1.0876 2.9379
```

=====

No. 3
Compound: TlCo2Mo
Source: the Alexandria database
Functional: PBE
Structure: relaxed

- formation energy from the elements (eV per formula unit) = 2.03
- space group = Cm (8)
- N(E_F) (states/eV/f.u.) = 3.82
- E (eV/f.u.) = -25.375

Geometry as POSCAR:
```
TlCo2Mo
1.0
4.4693 -1.4704 0.0000
4.4693 1.4704 0.0000
-1.0178 0.0000 4.5424
Tl Co Mo
1 2 1
Cartesian
0.0000 0.0000 0.0000
3.9272 0.0000 2.2642
6.5200 0.0000 1.0811
1.4104 0.0000 2.9269
```

=====

No. 4
Compound: TlCo2Mo
Source: the Alexandria database
Functional: PBE
Structure: relaxed

- formation energy from the elements (eV per formula unit) = 2.88
- space group = F-43m (216)
- N(E_F) (states/eV/f.u.) = 7.88
- E (eV/f.u.) = -24.525

Geometry as POSCAR:
```
TlCo2Mo
1.0
0.0000 3.1025 3.1025
3.1025 0.0000 3.1025
3.1025 3.1025 0.0000
Tl Co Mo
1 2 1
Cartesian
0.0000 0.0000 0.0000
1.5513 1.5513 1.5513
3.1025 3.1025 3.1025
4.6538 4.6538 4.6538
```

=====

No. 5
Compound: TlCoMo2
Source: the Alexandria database
Functional: PBE
Structure: relaxed

- formation energy from the elements (eV per formula unit) = 2.52
- space group = R3m (160)
- N(E_F) (states/eV/f.u.) = 4.92
- E (eV/f.u.) = -28.618

Geometry as POSCAR:
```
TlCoMo2
1.0
1.4532 0.8390 9.0489
-1.4532 0.8390 9.0489
0.0000 -1.6781 9.0489
Tl Co Mo
1 1 2
Cartesian
0.0000 0.0000 0.0000
0.0000 0.0000 20.3710
0.0000 0.0000 6.5027
0.0000 0.0000 13.2113
```

=====

No. 6
Compound: TlCo2Mo
Source: the Alexandria database
Functional: PBE
Structure: relaxed

- formation energy from the elements (eV per formula unit) = 2.02
- space group = C2/m (12)
- N(E_F) (states/eV/f.u.) = 3.75
- E (eV/f.u.) = -25.390

Geometry as POSCAR:
```
TlCo2Mo
1.0
4.2338 -1.4344 0.0000
4.2338 1.4344 0.0000
-0.8062 0.0000 5.0985
Tl Co Mo
1 2 1
Cartesian
0.0000 0.0000 0.0000
1.5000 0.0000 3.5229
6.1615 0.0000 1.5755
3.8307 0.0000 2.5492
```

=====

No. 7
Compound: TlCo2Mo
Source: the Alexandria database
Functional: PBE
Structure: relaxed

- formation energy from the elements (eV per formula unit) = 2.18
- space group = P4/mmm (123)
- N(E_F) (states/eV/f.u.) = 3.93
- E (eV/f.u.) = -25.230

Geometry as POSCAR:
```
TlCo2Mo
1.0
4.3504 0.0000 0.0000
0.0000 4.3504 0.0000
0.0000 0.0000 3.1282
Tl Co Mo
1 2 1
Cartesian
0.0000 0.0000 0.0000
0.0000 2.1752 1.5641
2.1752 0.0000 1.5641
2.1752 2.1752 0.0000
```

=====

No. 8
Compound: TlCoMo2
Source: the Alexandria database
Functional: PBE
Structure: relaxed

- formation energy from the elements (eV per formula unit) = 2.55
- space group = F-43m (216)
- N(E_F) (states/eV/f.u.) = 3.80
- E (eV/f.u.) = -28.580

Geometry as POSCAR:
```
TlCoMo2
1.0
0.0000 3.1853 3.1853
3.1853 0.0000 3.1853
3.1853 3.1853 0.0000
Tl Co Mo
1 1 2
Cartesian
0.0000 0.0000 0.0000
1.5926 1.5926 1.5926
3.1853 3.1853 3.1853
4.7779 4.7779 4.7779
```

=====

No. 9
Compound: Tl4CoMo
Source: the Alexandria database
Functional: PBE
Structure: relaxed

- formation energy from the elements (eV per formula unit) = 7.66
- space group = F-43m (216)
- N(E_F) (states/eV/f.u.) = 6.15
- E (eV/f.u.) = -19.747

Geometry as POSCAR:
```
Tl4CoMo
1.0
0.0000 4.3100 4.3100
4.3100 0.0000 4.3100
4.3100 4.3100 0.0000
Tl Co Mo
4 1 1
Cartesian
1.0761 1.0761 1.0761
3.2339 3.2339 1.0761
3.2339 1.0761 3.2339
1.0761 3.2339 3.2339
6.4650 6.4650 6.4650
4.3100 4.3100 4.3100
```

=====

No. 10
Compound: TlCo2Mo
Source: the Alexandria database
Functional: PBE
Structure: relaxed

- formation energy from the elements (eV per formula unit) = 1.92
- space group = I4/mmm (139)
- N(E_F) (states/eV/f.u.) = 3.10
- E (eV/f.u.) = -25.486

Geometry as POSCAR:
```
TlCo2Mo
1.0
-2.0529 2.0529 3.4434
2.0529 -2.0529 3.4434
2.0529 2.0529 -3.4434
Tl Co Mo
1 2 1
Cartesian
0.0000 0.0000 0.0000
2.0529 0.0000 1.7217
0.0000 2.0529 1.7217
0.0000 0.0000 3.4434
```

=====

No. 11
Compound: TlCoMo2
Source: the Alexandria database
Functional: PBE
Structure: relaxed

- formation energy from the elements (eV per formula unit) = 2.64
- space group = Cmmm (65)
- N(E_F) (states/eV/f.u.) = 3.97
- E (eV/f.u.) = -28.494

Geometry as POSCAR:
```
TlCoMo2
1.0
2.6413 -4.2849 0.0000
2.6413 4.2849 0.0000
0.0000 0.0000 2.8637
Tl Co Mo
1 1 2
Cartesian
0.0000 0.0000 0.0000
2.6413 0.0000 0.0000
1.3206 2.1425 1.4318
1.3206 -2.1425 1.4318
```

=====

No. 12
Compound: TlCoMo
Source: the Alexandria database
Functional: PBE
Structure: relaxed

- formation energy from the elements (eV per formula unit) = 1.43
- space group = P-1 (2)
- N(E_F) (states/eV/f.u.) = 2.83
- E (eV/f.u.) = -18.869

Geometry as POSCAR:
```
TlCoMo
1.0
2.8889 0.0000 0.0000
-0.6141 5.7843 0.0000
-1.1212 -2.8241 6.1294
Tl Co Mo
2 2 2
Cartesian
0.0063 0.0295 2.4515
1.1474 2.9308 3.6779
-0.3087 2.8907 1.3017
1.4624 0.0696 4.8277
-0.0097 -1.5689 6.1201
1.1634 4.5292 0.0094
```